Density functional theory data (PBE) for a relaxed structure of ThZn8Ir4.

theoretical density: 12.05 g/cm3
calculated total energy: -4.39 eV/atom
energy of formation: -0.312 eV/atom

abc: 8.6489 8.6489 5.6150
angles: 90.00 90.00 90.00
Space group I4/mmm (No. 139)
One atom of each set of equivalent atoms:
Th (0.0000, 0.0000, 0.0000) x2
Zn (0.0000, 0.2254, 0.5000) x8
Zn (0.0000, 0.3469, 0.0000) x8
Ir (0.2500, 0.2500, 0.2500) x8